No. 1
First-principles (meta-GGA SCAN) data for a crystal of Ho7Te2Au2 relaxed with PBEsol, as listed in Alexandria via LeMat-Bulk.

Its uncorrected formation energy is -1.00 eV per atom.

It has space group C2/m (No. 12), with a = 17.8697 Å, b = 3.9307 Å, c = 16.9185 Å, α = 90.00°, β = 104.42° and γ = 90.00°. The distinct sites, in fractional coordinates, are Ho at (0.0000, 0.0000, 0.0000), Ho at (0.9999, 0.0000, 0.3327), Ho at (0.0000, 0.5000, 0.5000), Ho at (0.0733, 0.5000, 0.1720), Ho at (0.1622, 0.5000, 0.9813), Ho at (0.1759, 0.0000, 0.5325), Ho at (0.1895, 0.0000, 0.3200), Ho at (0.2206, 0.0000, 0.8054), Te at (0.0664, 0.0000, 0.8502), Te at (0.1349, 0.5000, 0.6627), Au at (0.1178, 0.5000, 0.3998) and Au at (0.1692, 0.0000, 0.1113).

=====

No. 2
First-principles (meta-GGA SCAN) data for a crystal of TiZn2Ir relaxed with PBEsol, as listed in Alexandria via LeMat-Bulk.

Its formation energy is -475 meV/atom.

It has space group Fm-3m (No. 225), with a = 6.0369 Å, b = 6.0369 Å, c = 6.0369 Å, α = 90.00°, β = 90.00° and γ = 90.00°. The distinct sites, in fractional coordinates, are Ti at (0.0000, 0.0000, 0.0000), Zn at (0.2500, 0.2500, 0.2500) and Ir at (0.0000, 0.0000, 0.5000).

=====

No. 3
First-principles (meta-GGA SCAN) data for a crystal of CsGa3Ru relaxed with PBEsol, as listed in Alexandria via LeMat-Bulk.

Its formation energy is -302 meV/atom.

It has space group Pm-3m (No. 221), with a = 4.8775 Å, b = 4.8775 Å, c = 4.8775 Å, α = 90.00°, β = 90.00° and γ = 90.00°. The distinct sites, in fractional coordinates, are Cs at (0.0000, 0.0000, 0.0000), Ga at (0.0000, 0.5000, 0.5000) and Ru at (0.5000, 0.5000, 0.5000).

=====

No. 4
First-principles (meta-GGA SCAN) data for a crystal of LaCoCl2 relaxed with PBEsol, as listed in Alexandria via LeMat-Bulk.

Its uncorrected formation energy is -1.12 eV per atom.

It has space group Pm (No. 6), with a = 3.8126 Å, b = 3.8441 Å, c = 5.9187 Å, α = 90.00°, β = 108.78° and γ = 90.00°. The distinct sites, in fractional coordinates, are La at (0.0000, 0.0000, 0.0000), Co at (0.4134, 0.5000, 0.8297), Cl at (0.3017, 0.0000, 0.6037) and Cl at (0.6108, 0.5000, 0.2210).

=====

No. 5
First-principles (meta-GGA SCAN) data for a crystal of SrIn5 relaxed with PBEsol, as listed in Alexandria via LeMat-Bulk.

Its formation energy is -214 meV/atom.

It has space group F-43m (No. 216), with a = 8.6967 Å, b = 8.6967 Å, c = 8.6967 Å, α = 90.00°, β = 90.00° and γ = 90.00°. The distinct sites, in fractional coordinates, are Sr at (0.0000, 0.0000, 0.0000), In at (0.1245, 0.1245, 0.3755) and In at (0.2500, 0.2500, 0.7500).

=====

No. 6
First-principles (meta-GGA SCAN) data for a crystal of Cr3SiNi relaxed with PBEsol, as listed in Alexandria via LeMat-Bulk.

Its uncorrected formation energy is 1.07 eV per atom.

It has space group Pm-3m (No. 221), with a = 4.2328 Å, b = 4.2328 Å, c = 4.2328 Å, α = 90.00°, β = 90.00° and γ = 90.00°. The distinct sites, in fractional coordinates, are Cr at (0.0000, 0.0000, 0.5000), Si at (0.5000, 0.5000, 0.5000) and Ni at (0.0000, 0.0000, 0.0000).

=====

No. 7
First-principles (meta-GGA SCAN) data for a crystal of YGa2Ru2 relaxed with PBEsol, as listed in Alexandria via LeMat-Bulk.

Its formation energy is -487 meV/atom.

It has space group P4/mbm (No. 127), with a = 7.2283 Å, b = 7.2283 Å, c = 3.0258 Å, α = 90.00°, β = 90.00° and γ = 90.00°. The distinct sites, in fractional coordinates, are Y at (0.0000, 0.0000, 0.0000), Ga at (0.1269, 0.3731, 0.0000) and Ru at (0.1669, 0.6669, 0.5000).

=====

No. 8
First-principles (meta-GGA SCAN) data for a crystal of In2IrSe relaxed with PBEsol, as listed in Alexandria via LeMat-Bulk.

Its uncorrected formation energy is 0.01 eV per atom.

It has space group Imm2 (No. 44), with a = 3.0020 Å, b = 4.6109 Å, c = 12.0675 Å, α = 90.00°, β = 90.00° and γ = 90.00°. The distinct sites, in fractional coordinates, are In at (0.0000, 0.0000, 0.0000), In at (0.0000, 0.5000, 0.1962), Ir at (0.0000, 0.5000, 0.7028) and Se at (0.0000, 0.0000, 0.3772).

=====

No. 9
First-principles (meta-GGA SCAN) data for a crystal of KCa2Sb relaxed with PBEsol, as listed in Alexandria via LeMat-Bulk.

Its uncorrected formation energy is -0.19 eV per atom.

It has space group F-43m (No. 216), with a = 8.1394 Å, b = 8.1394 Å, c = 8.1394 Å, α = 90.00°, β = 90.00° and γ = 90.00°. The distinct sites, in fractional coordinates, are K at (0.0000, 0.0000, 0.0000), Ca at (0.0000, 0.0000, 0.5000), Ca at (0.2500, 0.2500, 0.2500) and Sb at (0.2500, 0.2500, 0.7500).

=====

No. 10
First-principles (meta-GGA SCAN) data for a crystal of LiNiAs2 relaxed with PBEsol, as listed in Alexandria via LeMat-Bulk.

Its formation energy is -188 meV/atom.

It has space group I4/mmm (No. 139), with a = 4.0950 Å, b = 4.0950 Å, c = 6.7191 Å, α = 90.00°, β = 90.00° and γ = 90.00°. The distinct sites, in fractional coordinates, are Li at (0.0000, 0.0000, 0.0000), Ni at (0.0000, 0.0000, 0.5000) and As at (0.0000, 0.5000, 0.2500).

=====

No. 11
First-principles (meta-GGA SCAN) data for a crystal of K2CrFe relaxed with PBEsol, as listed in Alexandria via LeMat-Bulk.

Its formation energy is 765 meV/atom.

It has space group Cm (No. 8), with a = 6.7782 Å, b = 3.9007 Å, c = 9.8833 Å, α = 90.00°, β = 102.29° and γ = 90.00°. The distinct sites, in fractional coordinates, are K at (0.0000, 0.0000, 0.0000), K at (0.1716, 0.0000, 0.5544), Cr at (0.2522, 0.5000, 0.2770) and Fe at (0.4192, 0.0000, 0.2773).

=====

No. 12
First-principles (meta-GGA SCAN) data for a crystal of Cs3YO3 relaxed with PBEsol, as listed in Alexandria via LeMat-Bulk.

Its uncorrected formation energy is -2.14 eV per atom.

It has space group P2_1/c (No. 14), with a = 8.0329 Å, b = 7.4963 Å, c = 12.0975 Å, α = 90.00°, β = 94.77° and γ = 90.00°. The distinct sites, in fractional coordinates, are Cs at (0.0606, 0.1250, 0.1586), Cs at (0.3506, 0.1563, 0.9236), Cs at (0.3823, 0.6796, 0.8103), Y at (0.1556, 0.5916, 0.0713), O at (0.1122, 0.0513, 0.4144), O at (0.2470, 0.6472, 0.5533) and O at (0.2924, 0.0465, 0.6992).

=====

No. 13
First-principles (meta-GGA SCAN) data for a crystal of YMg5 relaxed with PBEsol, as listed in Alexandria via LeMat-Bulk.

Its formation energy is -17 meV/atom.

It has space group C2/m (No. 12), with a = 11.6372 Å, b = 3.7832 Å, c = 6.9050 Å, α = 90.00°, β = 107.82° and γ = 90.00°. The distinct sites, in fractional coordinates, are Y at (0.0000, 0.0000, 0.0000), Mg at (0.0000, 0.0000, 0.5000), Mg at (0.1728, 0.5000, 0.3421) and Mg at (0.1738, 0.5000, 0.8298).

=====

No. 14
First-principles (meta-GGA SCAN) data for a crystal of Li2ReTe relaxed with PBEsol, as listed in Alexandria via LeMat-Bulk.

Its uncorrected formation energy is 0.28 eV per atom.

It has space group Immm (No. 71), with a = 3.1651 Å, b = 4.3783 Å, c = 9.2831 Å, α = 90.00°, β = 90.00° and γ = 90.00°. The distinct sites, in fractional coordinates, are Li at (0.0000, 0.0000, 0.2495), Re at (0.0000, 0.5000, 0.0000) and Te at (0.0000, 0.5000, 0.5000).

=====

No. 15
First-principles (meta-GGA SCAN) data for a crystal of LiIn2Pd2 relaxed with PBEsol, as listed in Alexandria via LeMat-Bulk.

Its formation energy is -518 meV/atom.

It has space group P4/mbm (No. 127), with a = 7.6664 Å, b = 7.6664 Å, c = 3.0752 Å, α = 90.00°, β = 90.00° and γ = 90.00°. The distinct sites, in fractional coordinates, are Li at (0.0000, 0.0000, 0.0000), In at (0.1498, 0.3502, 0.0000) and Pd at (0.1479, 0.6479, 0.5000).

=====

No. 16
First-principles (meta-GGA SCAN) data for a crystal of BaZn4Cr relaxed with PBEsol, as listed in Alexandria via LeMat-Bulk.

Its formation energy is 37 meV/atom.

It has space group F-43m (No. 216), with a = 7.6615 Å, b = 7.6615 Å, c = 7.6615 Å, α = 90.00°, β = 90.00° and γ = 90.00°. The distinct sites, in fractional coordinates, are Ba at (0.0000, 0.0000, 0.0000), Zn at (0.1225, 0.1225, 0.6225) and Cr at (0.2500, 0.2500, 0.2500).

=====

No. 17
First-principles (meta-GGA SCAN) data for a crystal of Re2SeN2 relaxed with PBEsol, as listed in Alexandria via LeMat-Bulk.

Its uncorrected formation energy is 0.73 eV per atom.

It has space group I4/mmm (No. 139), with a = 3.8655 Å, b = 3.8655 Å, c = 8.5285 Å, α = 90.00°, β = 90.00° and γ = 90.00°. The distinct sites, in fractional coordinates, are Re at (0.0000, 0.5000, 0.2500), Se at (0.0000, 0.0000, 0.0000) and N at (0.0000, 0.0000, 0.3373).

=====

No. 18
First-principles (meta-GGA SCAN) data for a crystal of La2ReTc relaxed with PBEsol, as listed in Alexandria via LeMat-Bulk.

Its formation energy is 185 meV/atom.

It has space group Imm2 (No. 44), with a = 3.5510 Å, b = 4.9556 Å, c = 10.8941 Å, α = 90.00°, β = 90.00° and γ = 90.00°. The distinct sites, in fractional coordinates, are La at (0.0000, 0.0000, 0.0000), La at (0.0000, 0.5000, 0.2105), Re at (0.0000, 0.5000, 0.7831) and Tc at (0.0000, 0.0000, 0.4260).

=====

No. 19
First-principles (meta-GGA SCAN) data for a crystal of Ba5Tl3 relaxed with PBEsol, as listed in Alexandria via LeMat-Bulk.

Its formation energy is -430 meV/atom.

It has space group I4/mcm (No. 140), with a = 13.9484 Å, b = 13.9484 Å, c = 6.6088 Å, α = 90.00°, β = 90.00° and γ = 90.00°. The distinct sites, in fractional coordinates, are Ba at (0.0000, 0.5000, 0.2500), Ba at (0.0871, 0.2174, 0.0000), Tl at (0.0000, 0.0000, 0.2500) and Tl at (0.1593, 0.3407, 0.5000).

=====

No. 20
First-principles (meta-GGA SCAN) data for a crystal of Ta2FePt relaxed with PBEsol, as listed in Alexandria via LeMat-Bulk.

Its formation energy is -246 meV/atom.

It has space group I-4m2 (No. 119), with a = 3.8243 Å, b = 3.8243 Å, c = 8.2102 Å, α = 90.00°, β = 90.00° and γ = 90.00°. The distinct sites, in fractional coordinates, are Ta at (0.0000, 0.0000, 0.0000), Ta at (0.0000, 0.5000, 0.2500), Fe at (0.0000, 0.0000, 0.5000) and Pt at (0.0000, 0.5000, 0.7500).

=====

Computed values of volume (unit: A^3/atom) for the preceding records, in sequence: 26.16, 13.75, 23.21, 20.53, 27.41, 15.17, 15.81, 20.88, 33.70, 14.08, 31.92, 25.93, 24.12, 16.08, 18.07, 18.74, 12.74, 23.96, 40.18, 15.01.